A plane-wave DFT calculation with PBE was carried out for ErFeRu after structural relaxation.

Computed properties:
Its energy of formation is -0.81 eV/f.u.

Cell: 5.2191 5.2191 5.2191 Å, 121.45 118.10 90.42°
With the nearest neighbours (Å) after each atom.
Sites, in units of the cell vectors:
Er1 0.3750 0.1250 0.2500  6 Ru 3.03-3.07, 6 Fe 3.04-3.11, 4 Er 3.15-3.25
Fe1 0.0000 0.0000 0.5000  2 Fe 2.55, 4 Ru 2.61
Ru1 0.5000 0.5000 0.0000  4 Fe 2.61, 2 Ru 2.68
Fe2 0.0000 0.5000 0.0000  2 Fe 2.55, 4 Ru 2.61
Er2 0.6250 0.8750 0.7500  6 Ru 3.03-3.07, 6 Fe 3.04-3.11, 4 Er 3.15-3.25
Ru2 0.0000 0.5000 0.5000  4 Fe 2.61, 2 Ru 2.68

A plane-wave DFT calculation with PBE was carried out for SrMoP after structural relaxation.

Computed properties:
Its energy of formation is -0.14 eV/f.u.

Cell: 3.6775 3.6775 5.9021 Å, 90.00 90.00 120.00°
With the nearest neighbours (Å) after each atom.
Sites, in units of the cell vectors:
Sr1 0.3333 0.6667 0.6358  3 P 3.02
Mo1 0.0000 0.0000 0.0912  3 P 2.38
P1 0.6667 0.3333 0.2730  3 Mo 2.38

A plane-wave DFT calculation with PBE was carried out for MgNiH after structural relaxation.

Computed properties:
The total energy comes out at -3.70 eV per atom.

Cell: 2.7250 5.2475 4.6297 Å, 100.87 90.00 90.00°
With the nearest neighbours (Å) after each atom.
Sites, in units of the cell vectors:
Ni1 0.2500 0.3202 0.3493  2 H 1.66
H1 0.2500 0.8591 0.7361  2 Ni 1.66
Mg1 0.2500 0.7755 0.1769  3 H 2.17-2.32
Ni2 0.7500 0.6798 0.6507  2 H 1.66
Mg2 0.7500 0.2245 0.8231  3 H 2.17-2.32
H2 0.7500 0.1409 0.2639  2 Ni 1.66

A plane-wave DFT calculation with PBE was carried out for Y4CdRe after structural relaxation.

Computed properties:
Its energy of formation is 5.02 eV/f.u.

Cell: 6.0269 6.0269 6.0269 Å, 60.00 60.00 60.00°
With the nearest neighbours (Å) after each atom.
Sites, in units of the cell vectors:
Cd1 0.7500 0.7500 0.7500  12 Y 3.54, 4 Re 3.69
Y1 0.3732 0.3732 0.8804  6 Y 2.97-3.06
Y2 0.3732 0.8804 0.3732  6 Y 2.97-3.06
Y3 0.3732 0.3732 0.3732  6 Y 2.97-3.06
Y4 0.8804 0.3732 0.3732  6 Y 2.97-3.06
Re1 0.0000 0.0000 0.0000  12 Y 3.53, 4 Cd 3.69

A plane-wave DFT calculation with PBE was carried out for ErTlCdAg after structural relaxation.

Computed properties:
Its energy of formation is -0.78 eV/f.u.

Cell: 5.0642 5.0642 5.0642 Å, 60.00 60.00 60.00°
With the nearest neighbours (Å) after each atom.
Sites, in units of the cell vectors:
Ag1 0.5000 0.5000 0.5000  4 Cd 3.10, 4 Er 3.10
Er1 0.2500 0.2500 0.2500  4 Ag 3.10, 4 Tl 3.10
Tl1 0.0000 0.0000 0.0000  4 Er 3.10, 4 Cd 3.10
Cd1 0.7500 0.7500 0.7500  4 Ag 3.10, 4 Tl 3.10

A plane-wave DFT calculation with PBE was carried out for Sb2PdRu after structural relaxation.

Computed properties:
The calculation puts the formation energy from raw total energies at 0.7 eV/f.u.

Cell: 6.1792 6.1792 7.0290 Å, 63.92 63.92 90.00°
With the nearest neighbours (Å) after each atom.
Sites, in units of the cell vectors:
Sb1 0.8750 0.8635 0.7500  2 Ru 2.54, 2 Pd 2.63
Sb2 0.1365 0.6250 0.2500  2 Ru 2.54, 2 Pd 2.63
Ru1 0.2500 0.7500 0.5000  4 Sb 2.54
Sb3 0.3750 0.3865 0.7500  2 Ru 2.54, 2 Pd 2.63
Sb4 0.6135 0.1250 0.2500  2 Ru 2.54, 2 Pd 2.63
Ru2 0.5000 0.5000 0.0000  4 Sb 2.54
Pd1 0.0000 0.0000 0.0000  4 Sb 2.63
Pd2 0.7500 0.2500 0.5000  4 Sb 2.63

A plane-wave DFT calculation with PBE was carried out for Rb3Ag5H12 after structural relaxation.

Computed properties:
The total energy comes out at -2.64 eV per atom.

Cell: 11.3748 11.3748 11.3748 Å, 109.47 109.47 109.47°
With the nearest neighbours (Å) after each atom.
Sites, in units of the cell vectors:
H1 0.0753 0.8983 0.4134  2 Ag 1.87-1.92
Ag1 0.6250 0.8750 0.2500  4 H 1.92
Ag2 0.5000 0.0000 0.0000  6 H 1.87
H2 0.8983 0.8231 0.4849  2 Ag 1.87-1.92
Ag3 0.8750 0.2500 0.6250  4 H 1.92
Rb1 0.7500 0.8750 0.6250  8 H 2.75-2.95
H3 0.5866 0.9849 0.1618  2 Ag 1.87-1.92
Rb2 0.7500 0.3750 0.1250  8 H 2.75-2.95
H4 0.4247 0.3382 0.3231  2 Ag 1.87-1.92
Rb3 0.3750 0.7500 0.6250  8 H 2.75-2.95
Ag4 0.7500 0.1250 0.8750  4 H 1.92
H5 0.6017 0.0151 0.6769  2 Ag 1.87-1.92
H6 0.4134 0.0151 0.8382  2 Ag 1.87-1.92
H7 0.4849 0.3231 0.8983  2 Ag 1.87-1.92
H8 0.3983 0.4134 0.5753  2 Ag 1.87-1.92
Ag5 0.6250 0.7500 0.8750  4 H 1.92
H9 0.3231 0.8382 0.4247  2 Ag 1.87-1.92
H10 0.0866 0.4247 0.1017  2 Ag 1.87-1.92
H11 0.1769 0.0753 0.6618  2 Ag 1.87-1.92
H12 0.1769 0.1017 0.0151  2 Ag 1.87-1.92
H13 0.9849 0.5866 0.6618  2 Ag 1.87-1.92
Ag6 0.5000 0.5000 0.0000  6 H 1.87
Ag7 0.7500 0.6250 0.3750  4 H 1.92
H14 0.0151 0.4134 0.3382  2 Ag 1.87-1.92
Ag8 0.2500 0.3750 0.6250  4 H 1.92
H15 0.8983 0.0753 0.9134  2 Ag 1.87-1.92
Rb4 0.8750 0.1250 0.2500  8 H 2.75-2.95
Rb5 0.3750 0.6250 0.2500  8 H 2.75-2.95
H16 0.8231 0.9247 0.3382  2 Ag 1.87-1.92
Rb6 0.1250 0.8750 0.7500  8 H 2.75-2.95
H17 0.0866 0.6618 0.4849  2 Ag 1.87-1.92
Ag9 0.8750 0.6250 0.7500  4 H 1.92
H18 0.1618 0.4849 0.5866  2 Ag 1.87-1.92
H19 0.4134 0.3983 0.0753  2 Ag 1.87-1.92
Ag10 0.3750 0.2500 0.1250  4 H 1.92
H20 0.6017 0.5866 0.4247  2 Ag 1.87-1.92
Ag11 0.0000 0.0000 0.5000  6 H 1.87
H21 0.9247 0.1017 0.5866  2 Ag 1.87-1.92
Ag12 0.1250 0.3750 0.2500  4 H 1.92
H22 0.1017 0.9247 0.0866  2 Ag 1.87-1.92
Ag13 0.5000 0.0000 0.5000  6 H 1.87
H23 0.4849 0.1618 0.0866  2 Ag 1.87-1.92
Ag14 0.3750 0.1250 0.7500  4 H 1.92
H24 0.1618 0.6769 0.0753  2 Ag 1.87-1.92
H25 0.3382 0.9134 0.0151  2 Ag 1.87-1.92
H26 0.9849 0.3983 0.8231  2 Ag 1.87-1.92
H27 0.3382 0.4247 0.8231  2 Ag 1.87-1.92
H28 0.8382 0.3231 0.9247  2 Ag 1.87-1.92
H29 0.4247 0.0866 0.6017  2 Ag 1.87-1.92
Rb7 0.6250 0.2500 0.3750  8 H 2.75-2.95
H30 0.5866 0.6017 0.9247  2 Ag 1.87-1.92
Rb8 0.2500 0.1250 0.3750  8 H 2.75-2.95
H31 0.5753 0.6618 0.6769  2 Ag 1.87-1.92
H32 0.0151 0.6017 0.1769  2 Ag 1.87-1.92
Ag15 0.0000 0.0000 0.0000  6 H 1.87
Ag16 0.0000 0.5000 0.5000  6 H 1.87
H33 0.8382 0.5151 0.4134  2 Ag 1.87-1.92
H34 0.8231 0.8983 0.9849  2 Ag 1.87-1.92
Ag17 0.1250 0.7500 0.3750  4 H 1.92
H35 0.5753 0.9134 0.3983  2 Ag 1.87-1.92
H36 0.9134 0.5753 0.8983  2 Ag 1.87-1.92
Ag18 0.0000 0.5000 0.0000  6 H 1.87
Rb9 0.6250 0.3750 0.7500  8 H 2.75-2.95
Rb10 0.8750 0.7500 0.1250  8 H 2.75-2.95
H37 0.9134 0.3382 0.5151  2 Ag 1.87-1.92
Rb11 0.2500 0.6250 0.8750  8 H 2.75-2.95
Rb12 0.1250 0.2500 0.8750  8 H 2.75-2.95
H38 0.5151 0.6769 0.1017  2 Ag 1.87-1.92
Ag19 0.2500 0.8750 0.1250  4 H 1.92
H39 0.6769 0.1618 0.5753  2 Ag 1.87-1.92
H40 0.6769 0.5151 0.6017  2 Ag 1.87-1.92
H41 0.6618 0.5753 0.1769  2 Ag 1.87-1.92
H42 0.6618 0.0866 0.9849  2 Ag 1.87-1.92
H43 0.3231 0.4849 0.3983  2 Ag 1.87-1.92
H44 0.3983 0.9849 0.3231  2 Ag 1.87-1.92
H45 0.1017 0.1769 0.5151  2 Ag 1.87-1.92
H46 0.9247 0.8231 0.8382  2 Ag 1.87-1.92
H47 0.0753 0.1769 0.1618  2 Ag 1.87-1.92
Ag20 0.5000 0.5000 0.5000  6 H 1.87
H48 0.5151 0.8382 0.9134  2 Ag 1.87-1.92

A plane-wave DFT calculation with PBE was carried out for TiSiTc3 after structural relaxation.

Computed properties:
The calculation puts the formation energy from raw total energies at 2.8 eV/f.u.

Cell: 4.3898 4.3898 4.3898 Å, 90.00 90.00 90.00°
With the nearest neighbours (Å) after each atom.
Sites, in units of the cell vectors:
Tc1 0.5000 0.0000 0.0000  2 Si 2.19
Tc2 0.0000 0.5000 0.0000  2 Si 2.19
Si1 0.0000 0.0000 0.0000  6 Tc 2.19
Tc3 0.0000 0.0000 0.5000  2 Si 2.19
Ti1 0.5000 0.5000 0.5000  12 Tc 3.10

A plane-wave DFT calculation with PBE was carried out for Dy2CdN after structural relaxation.

Computed properties:
The calculation puts the formation energy from raw total energies at -3.7 eV/f.u.

Cell: 3.5089 3.5089 8.1913 Å, 77.63 77.63 60.00°
With the nearest neighbours (Å) after each atom.
Sites, in units of the cell vectors:
Dy1 0.7233 0.7233 0.8301  3 N 2.43
Cd1 0.5000 0.5000 0.5000  6 Dy 3.31, 6 Cd 3.51
N1 0.0000 0.0000 0.0000  6 Dy 2.43
Dy2 0.2767 0.2767 0.1699  3 N 2.43

A plane-wave DFT calculation with PBE was carried out for Th2AlS after structural relaxation.

Computed properties:
The calculation puts the formation energy from raw total energies at -3.5 eV/f.u.

Cell: 3.9216 3.9216 8.2486 Å, 76.25 76.25 60.00°
With the nearest neighbours (Å) after each atom.
Sites, in units of the cell vectors:
Th1 0.2606 0.2606 0.2182  3 S 2.85, 3 Al 3.18
Al1 0.5000 0.5000 0.5000  6 Th 3.18
S1 0.0000 0.0000 0.0000  6 Th 2.85
Th2 0.7394 0.7394 0.7818  3 S 2.85, 3 Al 3.18

A plane-wave DFT calculation with PBE was carried out for LaPIr2W after structural relaxation.

Computed properties:
Its energy of formation is 0.13 eV/f.u.

Cell: 4.5672 4.5887 4.5672 Å, 90.00 90.00 90.00°
With the nearest neighbours (Å) after each atom.
Sites, in units of the cell vectors:
Ir1 0.0000 0.0000 0.5000  2 P 2.28
P1 0.0000 0.0000 0.0000  4 Ir 2.28, 2 W 2.29
La1 0.5000 0.5000 0.5000  4 W 3.23, 8 Ir 3.24
Ir2 0.5000 0.0000 0.0000  2 P 2.28
W1 0.0000 0.5000 0.0000  2 P 2.29

A plane-wave DFT calculation with PBE was carried out for RbTmP2O6 after structural relaxation.

Computed properties:
The calculation puts the formation energy from raw total energies at -25.8 eV/f.u.

Cell: 6.6786 6.6786 10.8845 Å, 111.94 111.94 109.75°
With the nearest neighbours (Å) after each atom.
Sites, in units of the cell vectors:
Rb1 0.8315 0.1685 0.7500  2 O 2.69
O1 0.7914 0.7016 0.7673  1 P 1.55
P1 0.3105 0.0679 0.8179  3 O 1.53-1.55
O2 0.6183 0.7636 0.0119  1 P 1.53
O3 0.7016 0.7914 0.2673  1 P 1.55
O4 0.2086 0.2984 0.2327  1 P 1.55
O5 0.0312 0.5128 0.6884  1 P 1.55
O6 0.3817 0.2364 0.9881  1 P 1.53
O7 0.9688 0.4872 0.3116  1 P 1.55
O8 0.5128 0.0312 0.1884  1 P 1.55
Tm1 0.4195 0.5805 0.7500  6 O 2.20-2.25
O9 0.4872 0.9688 0.8116  1 P 1.55
P2 0.6895 0.9321 0.1821  3 O 1.53-1.55
O10 0.7636 0.6183 0.5119  1 P 1.53
Tm2 0.5805 0.4195 0.2500  6 O 2.20-2.25
P3 0.9321 0.6895 0.6821  3 O 1.53-1.55
O11 0.2364 0.3817 0.4881  1 P 1.53
Rb2 0.1685 0.8315 0.2500  2 O 2.69
O12 0.2984 0.2086 0.7327  1 P 1.55
P4 0.0679 0.3105 0.3179  3 O 1.53-1.55

A plane-wave DFT calculation with PBE was carried out for ZnCdIn2 after structural relaxation.

Computed properties:
Its energy of formation is 0.23 eV/f.u.

Cell: 9.7775 9.7775 9.7775 Å, 19.67 19.67 19.67°
With the nearest neighbours (Å) after each atom.
Sites, in units of the cell vectors:
Cd1 0.7500 0.7500 0.7500  6 In 3.22, 6 Cd 3.34
In1 0.9935 0.9935 0.9935  3 Zn 2.93, 3 Cd 3.22
In2 0.5065 0.5065 0.5065  3 Zn 2.93, 3 Cd 3.22
Zn1 0.2500 0.2500 0.2500  6 In 2.93

A plane-wave DFT calculation with PBE was carried out for CaLaInSn after structural relaxation.

Computed properties:
Its energy of formation is -2.39 eV/f.u.

Cell: 4.5605 5.0646 5.1318 Å, 90.00 90.00 90.00°
With the nearest neighbours (Å) after each atom.
Sites, in units of the cell vectors:
La1 0.0000 0.0000 0.0000  4 Sn 3.41, 4 In 3.43, 4 Ca 3.61
In1 0.5000 0.0000 0.5000  4 Ca 3.41, 4 La 3.43, 4 Sn 3.61
Sn1 0.5000 0.5000 0.0000  4 La 3.41, 4 Ca 3.43, 4 In 3.61
Ca1 0.0000 0.5000 0.5000  4 In 3.41, 4 Sn 3.43, 4 La 3.61

A plane-wave DFT calculation with PBE was carried out for Tb3Sm after structural relaxation.

Computed properties:
Its energy of formation is 0.58 eV/f.u.

Cell: 5.6994 5.6994 5.6994 Å, 60.00 60.00 60.00°
With the nearest neighbours (Å) after each atom.
Sites, in units of the cell vectors:
Tb1 0.0000 0.0000 0.0000  8 Tb 3.49
Sm1 0.5000 0.5000 0.5000  8 Tb 3.49
Tb2 0.2500 0.2500 0.2500  4 Sm 3.49, 4 Tb 3.49
Tb3 0.7500 0.7500 0.7500  4 Sm 3.49, 4 Tb 3.49

A plane-wave DFT calculation with PBE was carried out for GdDyAg4 after structural relaxation.

Computed properties:
Its energy of formation is -1.03 eV/f.u.

Cell: 5.7142 5.7142 5.7142 Å, 60.00 60.00 60.00°
With the nearest neighbours (Å) after each atom.
Sites, in units of the cell vectors:
Ag1 0.1247 0.6251 0.6251  6 Ag 2.85-2.86
Ag2 0.6251 0.1247 0.6251  6 Ag 2.85-2.86
Ag3 0.6251 0.6251 0.6251  6 Ag 2.85-2.86
Dy1 0.0000 0.0000 0.0000  12 Ag 3.35, 4 Gd 3.50
Gd1 0.2500 0.2500 0.2500  12 Ag 3.35, 4 Dy 3.50
Ag4 0.6251 0.6251 0.1247  6 Ag 2.85-2.86

A plane-wave DFT calculation with PBE was carried out for NdMgScTl after structural relaxation.

Computed properties:
Its energy of formation is -0.86 eV/f.u.

Cell: 5.2851 5.2851 5.2851 Å, 60.00 60.00 60.00°
With the nearest neighbours (Å) after each atom.
Sites, in units of the cell vectors:
Mg1 0.0000 0.0000 0.0000  4 Nd 3.24, 4 Sc 3.24
Tl1 0.5000 0.5000 0.5000  4 Sc 3.24, 4 Nd 3.24
Nd1 0.2500 0.2500 0.2500  4 Tl 3.24, 4 Mg 3.24
Sc1 0.7500 0.7500 0.7500  4 Tl 3.24, 4 Mg 3.24

A plane-wave DFT calculation with PBE was carried out for LiNi2SnN after structural relaxation.

Computed properties:
The calculation puts the formation energy from raw total energies at -0.6 eV/f.u.

Cell: 3.8740 3.8740 4.0651 Å, 90.00 90.00 90.00°
With the nearest neighbours (Å) after each atom.
Sites, in units of the cell vectors:
Li1 0.0000 0.0000 0.5000  2 N 2.03
Sn1 0.5000 0.5000 0.5000  4 Li 2.74, 8 Ni 2.81
Ni1 0.0000 0.5000 0.0000  2 N 1.94
N1 0.0000 0.0000 0.0000  4 Ni 1.94, 2 Li 2.03
Ni2 0.5000 0.0000 0.0000  2 N 1.94

A plane-wave DFT calculation with PBE was carried out for HfMgInHg2 after structural relaxation.

Computed properties:
Its energy of formation is 3.12 eV/f.u.

Cell: 5.4803 5.6452 5.4803 Å, 90.00 90.00 90.00°
With the nearest neighbours (Å) after each atom.
Sites, in units of the cell vectors:
Hg1 0.0000 0.0000 0.5000  2 Hf 2.74
Hg2 0.5000 0.0000 0.0000  2 Hf 2.74
Hf1 0.0000 0.0000 0.0000  4 Hg 2.74, 2 In 2.82
Mg1 0.5000 0.5000 0.5000  4 In 3.88, 8 Hg 3.93
In1 0.0000 0.5000 0.0000  2 Hf 2.82

A plane-wave DFT calculation with PBE was carried out for YHfReGe2 after structural relaxation.

Computed properties:
Its energy of formation is 8.02 eV/f.u.

Cell: 5.0585 4.9262 5.0585 Å, 90.00 90.00 90.00°
With the nearest neighbours (Å) after each atom.
Sites, in units of the cell vectors:
Y1 0.0000 0.0000 0.0000  2 Re 2.46, 4 Ge 2.53
Ge1 0.0000 0.0000 0.5000  2 Y 2.53
Hf1 0.5000 0.5000 0.5000  8 Ge 3.53, 4 Re 3.58
Re1 0.0000 0.5000 0.0000  2 Y 2.46
Ge2 0.5000 0.0000 0.0000  2 Y 2.53